[1]
Compound: La2GaBi
Source: the Alexandria database
Functional: GGA-PBE
Structure: optimized geometry

## Properties
Total moment in Bohr magnetons per cell: 0.0
E above lowest polymorph in meV per atom: 129.9
Symmetry: No. 225

```
La2GaBi
1.0
8.110 0.000 0.000
0.000 8.110 0.000
0.000 0.000 8.110
La Ga Bi
8 4 4
Direct
0.250 0.250 0.250 La
0.250 0.250 0.750 La
0.250 0.750 0.250 La
0.250 0.750 0.750 La
0.750 0.250 0.250 La
0.750 0.250 0.750 La
0.750 0.750 0.250 La
0.750 0.750 0.750 La
0.000 0.000 0.000 Ga
0.000 0.500 0.500 Ga
0.500 0.000 0.500 Ga
0.500 0.500 0.000 Ga
0.000 0.000 0.500 Bi
0.000 0.500 0.000 Bi
0.500 0.000 0.000 Bi
0.500 0.500 0.500 Bi
```

***

[2]
Compound: PrNdSe2
Source: the Alexandria database
Functional: GGA-PBE
Structure: optimized geometry

## Properties
E_form (uncorrected) in eV per atom: -1.833
Total moment in Bohr magnetons per cell: 0.0
E above lowest polymorph in meV per atom: 8.8
Symmetry: No. 194

```
PrNdSe2
1.0
4.187 0.000 0.000
-2.094 3.626 0.000
0.000 0.000 14.318
Pr Nd Se
2 2 4
Direct
0.333 0.667 0.250 Pr
0.667 0.333 0.750 Pr
0.000 0.000 0.000 Nd
0.000 0.000 0.500 Nd
0.333 0.667 0.622 Se
0.333 0.667 0.878 Se
0.667 0.333 0.122 Se
0.667 0.333 0.378 Se
```

***

[3]
Compound: RbCaNbTeSe
Source: the Alexandria database
Functional: GGA-PBE
Structure: optimized geometry

## Properties
E_form (uncorrected) in eV per atom: -0.714
Total moment in Bohr magnetons per cell: 2.0
E above lowest polymorph in meV per atom: 0.0
Symmetry: No. 107

```
RbCaNbTeSe
1.0
3.841 0.000 0.000
0.000 3.841 0.000
0.000 0.000 18.547
Rb Ca Nb Te Se
2 2 2 2 2
Direct
0.000 0.000 0.000 Rb
0.500 0.500 0.500 Rb
0.000 0.000 0.813 Ca
0.500 0.500 0.313 Ca
0.000 0.000 0.208 Nb
0.500 0.500 0.708 Nb
0.000 0.000 0.646 Te
0.500 0.500 0.146 Te
0.000 0.000 0.365 Se
0.500 0.500 0.865 Se
```

***

[4]
Compound: Cd2InSe
Source: the Alexandria database
Functional: GGA-PBE
Structure: optimized geometry

## Properties
E_form (uncorrected) in eV per atom: -0.026
Total moment in Bohr magnetons per cell: 0.0
E above lowest polymorph in meV per atom: 156.6
Symmetry: No. 123

```
Cd2InSe
1.0
4.401 0.000 0.000
0.000 4.401 0.000
0.000 0.000 5.161
Cd In Se
2 1 1
Direct
0.000 0.500 0.000 Cd
0.500 0.000 0.000 Cd
0.000 0.000 0.500 In
0.500 0.500 0.500 Se
```